No. 1
DFT (PBE) results for crystalline TbPrPa4 at its relaxed geometry.

formation enthalpy at 0 K	1.46	eV/f.u.
space group	F-43m
calculated volume	27.840	A^3/atom

Cell lengths 6.1818, 6.1818, 6.1818 Å; angles 60.00, 60.00, 60.00 degrees
Closest atoms and distances in Å follow each position.
Atoms (fractional coordinates):
Tb: 0.0000 0.0000 0.0000  12 Pa 3.62, 4 Pr 3.79
Pa: 0.6252 0.6252 0.6252  6 Pa 3.09-3.10
Pa: 0.1243 0.6252 0.6252  6 Pa 3.09-3.10
Pr: 0.2500 0.2500 0.2500  12 Pa 3.63, 4 Tb 3.79
Pa: 0.6252 0.6252 0.1243  6 Pa 3.09-3.10
Pa: 0.6252 0.1243 0.6252  6 Pa 3.09-3.10

***

No. 2
DFT (PBE) results for crystalline AcTbNd at its relaxed geometry.

formation enthalpy at 0 K	0.86	eV/f.u.
space group	P4/nmm
calculated volume	38.929	A^3/atom
energy above the lowest structure with this stoichiometry	242	meV/atom

Cell lengths 5.1312, 5.1312, 8.8713 Å; angles 90.00, 90.00, 90.00 degrees
Closest atoms and distances in Å follow each position.
Atoms (fractional coordinates):
Tb: 0.0000 0.5000 0.6970  5 Nd 3.50-3.63, 4 Ac 3.72
Nd: 0.5000 0.0000 0.6971  5 Tb 3.50-3.63, 4 Ac 3.72
Ac: 0.5000 0.5000 0.0000  4 Ac 3.63, 4 Nd 3.72, 4 Tb 3.72
Nd: 0.0000 0.5000 0.3029  5 Tb 3.50-3.63, 4 Ac 3.72
Tb: 0.5000 0.0000 0.3030  5 Nd 3.50-3.63, 4 Ac 3.72
Ac: 0.0000 0.0000 0.0000  4 Ac 3.63, 4 Nd 3.72, 4 Tb 3.72

***

No. 3
DFT (PBE) results for crystalline Y3MgGa at its relaxed geometry.

formation enthalpy at 0 K	0.30	eV/f.u.
space group	Pm-3m
calculated volume	33.279	A^3/atom
energy above the lowest structure with this stoichiometry	343	meV/atom

Cell lengths 5.5002, 5.5002, 5.5002 Å; angles 90.00, 90.00, 90.00 degrees
Closest atoms and distances in Å follow each position.
Atoms (fractional coordinates):
Ga: 0.0000 0.0000 0.0000  6 Y 2.75
Y: 0.0000 0.5000 0.0000  2 Ga 2.75
Mg: 0.5000 0.5000 0.5000  12 Y 3.89
Y: 0.5000 0.0000 0.0000  2 Ga 2.75
Y: 0.0000 0.0000 0.5000  2 Ga 2.75

***

What is the formation enthalpy at 0 K in the second record?
0.86 eV/f.u.